NdDy4Ho7: optimized geometry, PBE.

Size of the total moment = 0.00 μB per cell
Polymorph energy (0 for the lowest one) = 277 meV/atom
Energy of formation from the pure elements = 0.276 eV/atom

Lattice parameters (Å, degrees): 5.849 11.500 6.692 83.13 64.09 75.27
Fractional coordinates of all 12 atoms:
Ho  0.211  0.078  0.501
Ho  0.789  0.922  0.499
Ho  0.500  0.000  0.000
Ho  0.634  0.498  0.235
Ho  0.060  0.672  0.208
Ho  0.940  0.328  0.792
Ho  0.366  0.502  0.765
Dy  0.247  0.318  0.188
Dy  0.633  0.225  0.508
Dy  0.367  0.775  0.492
Dy  0.753  0.682  0.812
Nd  0.000  0.000  0.000

---

Zr2NbCdAu: optimized geometry, PBE.

Size of the total moment = 0.83 μB per cell
Energy of formation from the pure elements = 1.385 eV/atom

Lattice parameters (Å, degrees): 5.182 4.994 5.182 90.00 90.00 90.00
Site moments in Bohr magnetons follow the coordinates.
Fractional coordinates of all 5 atoms:
Au  0.500  0.500  0.500  0.00
Zr  0.000  0.000  0.500  -0.02
Zr  0.500  0.000  0.000  -0.02
Nb  0.000  0.500  0.000  0.72
Cd  0.000  0.000  0.000  0.00

---

PmY3Pd: optimized geometry, PBE.

Size of the total moment = 0.00 μB per cell
Polymorph energy (0 for the lowest one) = 56 meV/atom
Energy of formation from the pure elements = -0.256 eV/atom

Lattice parameters (Å, degrees): 7.407 7.407 7.394 106.90 113.20 108.45
Fractional coordinates of all 10 atoms:
Pm  0.284  0.943  0.228
Pm  0.716  0.057  0.772
Y  0.768  0.559  0.720
Y  0.282  0.553  0.835
Y  0.718  0.447  0.165
Y  0.232  0.441  0.280
Y  0.839  0.047  0.280
Y  0.161  0.953  0.720
Pd  0.367  0.252  0.619
Pd  0.633  0.748  0.381

---

Y4HoAl: optimized geometry, PBE.

Size of the total moment = 0.02 μB per cell
Polymorph energy (0 for the lowest one) = 82 meV/atom
Energy of formation from the pure elements = -0.047 eV/atom

Lattice parameters (Å, degrees): 6.238 9.023 8.188 113.99 99.91 112.27
Fractional coordinates of all 12 atoms:
Al  0.249  0.999  0.998
Al  0.751  0.001  0.002
Ho  0.346  0.596  0.191
Ho  0.654  0.404  0.809
Y  0.370  0.916  0.632
Y  0.762  0.716  0.632
Y  0.238  0.284  0.368
Y  0.044  0.169  0.777
Y  0.630  0.084  0.368
Y  0.767  0.392  0.223
Y  0.233  0.608  0.777
Y  0.956  0.831  0.223